Pu3BiSb3 (PBE, relaxed); E_form (uncorrected) = -2.324 eV per formula unit; symmetry = P6_3/m (176); density = 11.18 g cm⁻³; DOS at the Fermi energy = 48.35 states/eV per cell
1.0
5.677 0.000 0.000
0.000 8.885 0.000
0.000 -4.443 7.695
Pu Bi Sb
6 2 6
Cartesian
4.258 6.547 2.692
4.258 3.500 0.679
1.419 1.162 3.371
1.419 0.942 7.016
1.419 -2.104 5.003
4.258 3.280 4.324
4.258 0.000 5.130
1.419 4.443 2.565
1.419 2.071 0.365
4.258 -3.091 6.084
4.258 0.719 1.976
4.258 2.371 7.330
1.419 7.533 1.611
1.419 3.723 5.718